No. 1
A geometry-optimized LiCaDyRu structure, computed with PBE.

Cell: 7.006 7.006 7.006 Å, 90.00 90.00 90.00°
Space group F-43m (No. 216)
Asymmetric unit:
Li  0.000  0.000  0.000 (multiplicity 4)
Ca  0.250  0.250  0.250 (multiplicity 4)
Dy  0.250  0.250  0.750 (multiplicity 4)
Ru  0.000  0.000  0.500 (multiplicity 4)

## Properties
Formation energy from the elements ... -0.052 eV per atom
Final energy ... -18.0 eV per formula unit
Calculated volume ... 343.93 Å³/cell
Magnetization ... 0.0 Bohr magnetons per cell
ρ ... 6.0 g cm⁻³



No. 2
A geometry-optimized GaBi3Ir structure, computed with PBE.

Cell: 5.429 5.429 5.429 Å, 90.00 90.00 90.00°
Space group Pm-3m (No. 221)
Asymmetric unit:
Ga  0.000  0.000  0.000 (multiplicity 1)
Bi  0.000  0.500  0.500 (multiplicity 3)
Ir  0.500  0.500  0.500 (multiplicity 1)

## Properties
Formation energy from the elements ... 0.542 eV per atom
Relative energy among the computed polymorphs ... 0 meV per atom
Final energy ... -20.8 eV per formula unit
Calculated volume ... 159.99 Å³/cell
Magnetization ... 0.0 Bohr magnetons per cell
ρ ... 9.2 g cm⁻³



No. 3
A geometry-optimized Li3N structure, computed with PBE.

Cell: 3.509 3.509 4.801 Å, 90.00 90.00 90.00°
Space group P4mm (No. 99)
Asymmetric unit:
Li  0.000  0.000  0.000 (multiplicity 1)
Li  0.000  0.500  0.374 (multiplicity 2)
N  0.500  0.500  0.231 (multiplicity 1)

## Properties
Relative energy among the computed polymorphs ... 399 meV per atom
Final energy ... -13.9 eV per formula unit
Calculated volume ... 59.13 Å³/cell
Magnetization ... 0.0 Bohr magnetons per cell
ρ ... 1.0 g cm⁻³
ΔE_f (raw) ... 0.15 eV per formula unit



No. 4
A geometry-optimized Cs4HF2 structure, computed with PBE.

Cell: 5.976 5.976 15.473 Å, 90.00 90.00 90.00°
Space group I4/mmm (No. 139)
Asymmetric unit:
Cs  0.000  0.000  0.220 (multiplicity 4)
Cs  0.000  0.500  0.000 (multiplicity 4)
H  0.000  0.000  0.000 (multiplicity 2)
F  0.000  0.000  0.392 (multiplicity 4)

## Properties
Final energy ... -20.1 eV per formula unit
Calculated volume ... 552.48 Å³/cell
Magnetization ... 0.0 Bohr magnetons per cell
ρ ... 3.4 g cm⁻³